Below is a relaxed Mn2ReOs2 crystal, with properties calculated at the PBE-GGA level.

Results
- Relative energy among the computed polymorphs: 85 meV per atom

```
Mn2ReOs2
1.0
7.1082 0.0000 0.0000
0.0000 7.1082 0.0000
0.0000 0.0000 2.6775
Mn Re Os
4 2 4
direct
0.1683 0.3317 0.0000 Mn
0.3317 0.8317 0.0000 Mn
0.6683 0.1683 0.0000 Mn
0.8317 0.6683 0.0000 Mn
0.0000 0.0000 0.5000 Re
0.5000 0.5000 0.5000 Re
0.1281 0.6281 0.5000 Os
0.3719 0.1281 0.5000 Os
0.6281 0.8719 0.5000 Os
0.8719 0.3719 0.5000 Os
```

Below is a relaxed MnReOs2 crystal, with properties calculated at the PBE-GGA level.

Results
- Relative energy among the computed polymorphs: 359 meV per atom

```
MnReOs2
1.0
1.4309 -2.2758 0.0000
1.4309 2.2758 0.0000
0.0000 0.0000 8.8803
Mn Re Os
1 1 2
direct
0.0000 0.0000 0.0000 Mn
0.0000 0.0000 0.5000 Re
0.5000 0.5000 0.2419 Os
0.5000 0.5000 0.7581 Os
```

Number 1: calculated formation energy 1.2 eV per formula unit. Number 2: calculated formation energy 1.7 eV per formula unit.